! Pa2Nb5Ge4 | Alexandria via LeMat-Bulk | PBE-GGA | optimized geometry; values from VASP
! Spin magnetization ... 0.00 μB per atom
! Formation enthalpy at 0 K ... -0.181 eV per atom
! Density of states at the Fermi level ... 0.972 states/eV/atom
! Raw total energy ... -8.164 eV/atom
&SYSTEM
  ibrav = 0, nat = 11, ntyp = 3
/
ATOMIC_SPECIES
Pa 231.04 Pa.upf
Nb 92.91 Nb.upf
Ge 72.64 Ge.upf
CELL_PARAMETERS angstrom
-2.746 4.370 4.473
2.746 -4.370 4.473
2.746 4.370 -4.473
ATOMIC_POSITIONS crystal
Pa 0.172 0.172 0.000
Pa 0.828 0.828 0.000
Nb 0.000 0.500 0.500
Nb 0.337 0.255 0.592
Nb 0.337 0.745 0.083
Nb 0.663 0.255 0.917
Nb 0.663 0.745 0.408
Ge 0.057 0.732 0.325
Ge 0.408 0.732 0.675
Ge 0.592 0.268 0.325
Ge 0.943 0.268 0.675

---

! Li3In5Cl12 | Alexandria via LeMat-Bulk | PBE-GGA | optimized geometry; values from VASP
! Spin magnetization ... 0.06 μB per atom
! Raw formation energy ... -19.73 eV per formula unit
! Density of states at the Fermi level ... 0.613 states/eV/atom
! Raw total energy ... -3.066 eV/atom
&SYSTEM
  ibrav = 0, nat = 80, ntyp = 3
/
ATOMIC_SPECIES
Li 6.94 Li.upf
In 114.82 In.upf
Cl 35.45 Cl.upf
CELL_PARAMETERS angstrom
-8.569 8.569 8.569
8.569 -8.569 8.569
8.569 8.569 -8.569
ATOMIC_POSITIONS crystal
Li 0.125 0.250 0.375
Li 0.125 0.375 0.750
Li 0.250 0.375 0.125
Li 0.250 0.875 0.625
Li 0.375 0.125 0.250
Li 0.375 0.750 0.125
Li 0.625 0.250 0.875
Li 0.625 0.875 0.750
Li 0.750 0.125 0.375
Li 0.750 0.625 0.875
Li 0.875 0.625 0.250
Li 0.875 0.750 0.625
In 0.000 0.000 0.000
In 0.000 0.000 0.500
In 0.000 0.500 0.000
In 0.000 0.500 0.500
In 0.125 0.750 0.875
In 0.125 0.875 0.250
In 0.250 0.125 0.875
In 0.250 0.625 0.375
In 0.375 0.250 0.625
In 0.375 0.625 0.750
In 0.500 0.000 0.000
In 0.500 0.000 0.500
In 0.500 0.500 0.000
In 0.500 0.500 0.500
In 0.625 0.375 0.250
In 0.625 0.750 0.375
In 0.750 0.375 0.625
In 0.750 0.875 0.125
In 0.875 0.125 0.750
In 0.875 0.250 0.125
Cl 0.043 0.233 0.136
Cl 0.043 0.310 0.907
Cl 0.093 0.636 0.403
Cl 0.093 0.957 0.690
Cl 0.097 0.733 0.690
Cl 0.097 0.864 0.407
Cl 0.136 0.043 0.233
Cl 0.136 0.593 0.903
Cl 0.190 0.233 0.597
Cl 0.190 0.457 0.593
Cl 0.233 0.136 0.043
Cl 0.233 0.597 0.190
Cl 0.267 0.310 0.903
Cl 0.267 0.457 0.364
Cl 0.310 0.903 0.267
Cl 0.310 0.907 0.043
Cl 0.364 0.267 0.457
Cl 0.364 0.597 0.907
Cl 0.403 0.093 0.636
Cl 0.403 0.810 0.767
Cl 0.407 0.097 0.864
Cl 0.407 0.810 0.543
Cl 0.457 0.364 0.267
Cl 0.457 0.593 0.190
Cl 0.543 0.407 0.810
Cl 0.543 0.636 0.733
Cl 0.593 0.190 0.457
Cl 0.593 0.903 0.136
Cl 0.597 0.190 0.233
Cl 0.597 0.907 0.364
Cl 0.636 0.403 0.093
Cl 0.636 0.733 0.543
Cl 0.690 0.093 0.957
Cl 0.690 0.097 0.733
Cl 0.733 0.543 0.636
Cl 0.733 0.690 0.097
Cl 0.767 0.403 0.810
Cl 0.767 0.864 0.957
Cl 0.810 0.543 0.407
Cl 0.810 0.767 0.403
Cl 0.864 0.407 0.097
Cl 0.864 0.957 0.767
Cl 0.903 0.136 0.593
Cl 0.903 0.267 0.310
Cl 0.907 0.043 0.310
Cl 0.907 0.364 0.597
Cl 0.957 0.690 0.093
Cl 0.957 0.767 0.864

---

! Co3MoIr | Alexandria via LeMat-Bulk | PBE-GGA | optimized geometry; values from VASP
! Spin magnetization ... 1.63 μB per atom
! Formation enthalpy at 0 K ... 1.661 eV per atom
! Density of states at the Fermi level ... 1.740 states/eV/atom
! Raw total energy ... -6.541 eV/atom
&SYSTEM
  ibrav = 0, nat = 5, ntyp = 3
/
ATOMIC_SPECIES
Co 58.93 Co.upf
Mo 95.94 Mo.upf
Ir 192.22 Ir.upf
CELL_PARAMETERS angstrom
4.459 0.000 0.000
0.000 4.459 0.000
0.000 0.000 4.459
ATOMIC_POSITIONS crystal
Co 0.000 0.000 0.500
Co 0.000 0.500 0.000
Co 0.500 0.000 0.000
Mo 0.500 0.500 0.500
Ir 0.000 0.000 0.000

---

! SrTcRh2 | Alexandria via LeMat-Bulk | PBE-GGA | optimized geometry; values from VASP
! Spin magnetization ... 0.00 μB per atom
! Formation enthalpy at 0 K ... 0.464 eV per atom
! Density of states at the Fermi level ... 1.156 states/eV/atom
! Raw total energy ... -6.223 eV/atom
&SYSTEM
  ibrav = 0, nat = 8, ntyp = 3
/
ATOMIC_SPECIES
Sr 87.62 Sr.upf
Tc 98.00 Tc.upf
Rh 102.91 Rh.upf
CELL_PARAMETERS angstrom
3.641 0.000 0.000
0.000 5.137 0.000
0.000 0.000 8.372
ATOMIC_POSITIONS crystal
Sr 0.000 0.000 0.000
Sr 0.500 0.500 0.500
Tc 0.000 0.000 0.500
Tc 0.500 0.500 0.000
Rh 0.000 0.500 0.204
Rh 0.000 0.500 0.796
Rh 0.500 0.000 0.296
Rh 0.500 0.000 0.704

---

! Rb2WI6N | Alexandria via LeMat-Bulk | PBE-GGA | optimized geometry; values from VASP
! Spin magnetization ... 0.50 μB per atom
! Raw formation energy ... -0.99 eV per formula unit
! Density of states at the Fermi level ... 0.711 states/eV/atom
! Raw total energy ... -3.350 eV/atom
&SYSTEM
  ibrav = 0, nat = 10, ntyp = 4
/
ATOMIC_SPECIES
Rb 85.47 Rb.upf
W 183.84 W.upf
I 126.90 I.upf
N 14.01 N.upf
CELL_PARAMETERS angstrom
0.000 5.870 5.870
5.870 0.000 5.870
5.870 5.870 0.000
ATOMIC_POSITIONS crystal
Rb 0.250 0.250 0.250
Rb 0.750 0.750 0.750
W 0.000 0.000 0.000
I 0.237 0.237 0.763
I 0.237 0.763 0.237
I 0.237 0.763 0.763
I 0.763 0.237 0.237
I 0.763 0.237 0.763
I 0.763 0.763 0.237
N 0.500 0.500 0.500

---

! Zr6BiP | Alexandria via LeMat-Bulk | PBE-GGA | optimized geometry; values from VASP
! Spin magnetization ... 0.00 μB per atom
! Formation enthalpy at 0 K ... -0.297 eV per atom
! Density of states at the Fermi level ... 1.260 states/eV/atom
! Raw total energy ... -7.870 eV/atom
&SYSTEM
  ibrav = 0, nat = 8, ntyp = 3
/
ATOMIC_SPECIES
Zr 91.22 Zr.upf
Bi 208.98 Bi.upf
P 30.97 P.upf
CELL_PARAMETERS angstrom
5.623 0.000 0.000
-1.070 5.721 0.000
-1.063 -1.427 5.616
ATOMIC_POSITIONS crystal
Zr 0.102 0.226 0.222
Zr 0.256 0.823 0.431
Zr 0.260 0.425 0.819
Zr 0.740 0.575 0.181
Zr 0.744 0.177 0.569
Zr 0.898 0.774 0.778
Bi 0.500 0.000 0.000
P 0.500 0.500 0.500

---

! LiReI2 | Alexandria via LeMat-Bulk | PBE-GGA | optimized geometry; values from VASP
! Spin magnetization ... 0.00 μB per atom
! Raw formation energy ... 2.71 eV per formula unit
! Density of states at the Fermi level ... 0.776 states/eV/atom
! Raw total energy ... -3.689 eV/atom
&SYSTEM
  ibrav = 0, nat = 12, ntyp = 3
/
ATOMIC_SPECIES
Li 6.94 Li.upf
Re 186.21 Re.upf
I 126.90 I.upf
CELL_PARAMETERS angstrom
3.526 0.000 0.000
-1.763 3.054 0.000
0.000 0.000 26.677
ATOMIC_POSITIONS crystal
Li 0.000 0.000 0.000
Li 0.333 0.667 0.667
Li 0.667 0.333 0.333
Re 0.000 0.000 0.500
Re 0.333 0.667 0.167
Re 0.667 0.333 0.833
I 0.000 0.000 0.403
I 0.000 0.000 0.597
I 0.333 0.667 0.070
I 0.333 0.667 0.263
I 0.667 0.333 0.737
I 0.667 0.333 0.930

---

! PrMgTcO6 | Alexandria via LeMat-Bulk | PBE-GGA | optimized geometry; values from VASP
! Spin magnetization ... 0.00 μB per atom
! Raw formation energy ... -19.35 eV per formula unit
! Raw total energy ... -7.315 eV/atom
&SYSTEM
  ibrav = 0, nat = 9, ntyp = 4
/
ATOMIC_SPECIES
Pr 140.91 Pr.upf
Mg 24.30 Mg.upf
Tc 98.00 Tc.upf
O 16.00 O.upf
CELL_PARAMETERS angstrom
5.242 0.000 0.000
-2.621 4.540 0.000
0.000 0.000 5.088
ATOMIC_POSITIONS crystal
Pr 0.000 0.000 0.000
Mg 0.333 0.667 0.500
Tc 0.667 0.333 0.500
O 0.380 0.025 0.713
O 0.380 0.355 0.287
O 0.645 0.025 0.287
O 0.645 0.620 0.713
O 0.975 0.355 0.713
O 0.975 0.620 0.287

---

! Ba2Li2CeS4 | Alexandria via LeMat-Bulk | PBE-GGA | optimized geometry; values from VASP
! Spin magnetization ... 0.17 μB per atom
! Raw formation energy ... -15.20 eV per formula unit
! Density of states at the Fermi level ... 1.023 states/eV/atom
! Raw total energy ... -5.035 eV/atom
&SYSTEM
  ibrav = 0, nat = 9, ntyp = 4
/
ATOMIC_SPECIES
Ba 137.33 Ba.upf
Li 6.94 Li.upf
Ce 140.12 Ce.upf
S 32.06 S.upf
CELL_PARAMETERS angstrom
7.597 -2.057 0.000
7.597 2.057 0.000
-2.546 0.000 6.992
ATOMIC_POSITIONS crystal
Ba 0.133 0.133 0.059
Ba 0.867 0.867 0.941
Li 0.318 0.318 0.505
Li 0.682 0.682 0.495
Ce 0.000 0.000 0.500
S 0.206 0.206 0.692
S 0.476 0.476 0.748
S 0.524 0.524 0.252
S 0.794 0.794 0.308

---

! Cr3Rh2 | Alexandria via LeMat-Bulk | PBE-GGA | optimized geometry; values from VASP
! Spin magnetization ... 0.00 μB per atom
! Formation enthalpy at 0 K ... 0.140 eV per atom
! Density of states at the Fermi level ... 1.414 states/eV/atom
! Raw total energy ... -8.575 eV/atom
&SYSTEM
  ibrav = 0, nat = 15, ntyp = 2
/
ATOMIC_SPECIES
Cr 52.00 Cr.upf
Rh 102.91 Rh.upf
CELL_PARAMETERS angstrom
2.727 0.000 0.000
-1.364 2.362 0.000
0.000 0.000 30.321
ATOMIC_POSITIONS crystal
Cr 0.000 0.000 0.000
Cr 0.000 0.000 0.193
Cr 0.000 0.000 0.807
Cr 0.333 0.667 0.473
Cr 0.333 0.667 0.667
Cr 0.333 0.667 0.860
Cr 0.667 0.333 0.140
Cr 0.667 0.333 0.333
Cr 0.667 0.333 0.527
Rh 0.000 0.000 0.401
Rh 0.000 0.000 0.599
Rh 0.333 0.667 0.068
Rh 0.333 0.667 0.266
Rh 0.667 0.333 0.734
Rh 0.667 0.333 0.932

---

! CoPt2Se | Alexandria via LeMat-Bulk | PBE-GGA | optimized geometry; values from VASP
! Spin magnetization ... 0.45 μB per atom
! Raw formation energy ... 0.68 eV per formula unit
! Density of states at the Fermi level ... 1.074 states/eV/atom
! Raw total energy ... -5.498 eV/atom
&SYSTEM
  ibrav = 0, nat = 8, ntyp = 3
/
ATOMIC_SPECIES
Co 58.93 Co.upf
Pt 195.08 Pt.upf
Se 78.96 Se.upf
CELL_PARAMETERS angstrom
9.489 0.000 0.000
0.000 2.919 0.000
-1.358 0.000 4.400
ATOMIC_POSITIONS crystal
Co 0.000 0.000 0.000
Co 0.500 0.500 0.000
Pt 0.030 0.500 0.501
Pt 0.243 0.500 0.175
Pt 0.530 0.000 0.501
Pt 0.743 0.000 0.175
Se 0.310 0.000 0.716
Se 0.810 0.500 0.716

---

! Ta2CrBMo | Alexandria via LeMat-Bulk | PBE-GGA | optimized geometry; values from VASP
! Spin magnetization ... 0.00 μB per atom
! Formation enthalpy at 0 K ... 0.035 eV per atom
! Density of states at the Fermi level ... 0.517 states/eV/atom
! Raw total energy ... -10.133 eV/atom
&SYSTEM
  ibrav = 0, nat = 5, ntyp = 4
/
ATOMIC_SPECIES
Ta 180.95 Ta.upf
Cr 52.00 Cr.upf
B 10.81 B.upf
Mo 95.94 Mo.upf
CELL_PARAMETERS angstrom
4.465 0.000 0.000
0.000 4.465 0.000
0.000 0.000 3.708
ATOMIC_POSITIONS crystal
Ta 0.000 0.500 0.000
Ta 0.500 0.000 0.000
Cr 0.000 0.000 0.500
B 0.000 0.000 0.000
Mo 0.500 0.500 0.500